Here is a crystal of TiFeH3 relaxed with PBEsol from Alexandria. Energies are from meta-GGA SCAN.

Unit cell a=3.204 b=3.204 c=3.204 alpha=90.00 beta=90.00 gamma=90.00
Site moments in Bohr magnetons follow the coordinates.
Fractional coordinates of all 5 atoms:
H1 0.000 0.000 0.500  -0.02
H2 0.500 0.000 0.000  -0.02
Ti1 0.500 0.500 0.500  1.26
H3 0.000 0.500 0.000  -0.02
Fe1 0.000 0.000 0.000  1.48

Results
The value obtained for the uncorrected energy is -45.6 eV per formula unit. The theoretical density comes out at 5.4 g cm⁻³. As for the density of states at the Fermi level: 0.307 states/eV/atom.

***

Here is a crystal of Sr3MgCd relaxed with PBEsol from Alexandria. Energies are from meta-GGA SCAN.

Unit cell a=6.305 b=6.305 c=6.305 alpha=90.00 beta=90.00 gamma=90.00
Fractional coordinates of all 5 atoms:
Mg1 0.000 0.000 0.000
Cd1 0.500 0.500 0.500
Sr1 0.500 0.000 0.000
Sr2 0.000 0.000 0.500
Sr3 0.000 0.500 0.000

Results
The value obtained for the uncorrected energy is -100.5 eV per formula unit. The theoretical density comes out at 2.6 g cm⁻³. As for the density of states at the Fermi level: 1.177 states/eV/atom. As for the calculated formation energy: 0.351 eV per atom.

***

Here is a crystal of CdCl5 relaxed with PBEsol from Alexandria. Energies are from meta-GGA SCAN.

Unit cell a=3.621 b=7.389 c=7.328 alpha=99.57 beta=104.31 gamma=90.00
Site moments in Bohr magnetons follow the coordinates.
Fractional coordinates of all 6 atoms:
Cl1 0.745 0.336 0.490  -0.14
Cl2 0.340 0.640 0.680  -0.08
Cl3 0.084 0.802 0.168  -0.28
Cl4 0.412 0.105 0.825  -0.03
Cl5 0.670 0.082 0.341  -0.20
Cd1 0.915 0.869 0.831  -0.01

Results
The value obtained for the uncorrected energy is -72.8 eV per formula unit. The theoretical density comes out at 2.6 g cm⁻³. As for the density of states at the Fermi level: 0.452 states/eV/atom. The uncorrected formation energy is -0.417 eV/atom.

***

Here is a crystal of KCd2Sb relaxed with PBEsol from Alexandria. Energies are from meta-GGA SCAN.

Unit cell a=3.288 b=5.296 c=6.128 alpha=90.00 beta=90.00 gamma=90.00
Fractional coordinates of all 4 atoms:
Cd1 0.000 0.000 0.252
K1 0.500 0.500 0.500
Cd2 0.000 0.000 0.748
Sb1 0.000 0.500 0.000

Results
The value obtained for the uncorrected energy is -107.0 eV per formula unit. The theoretical density comes out at 6.0 g cm⁻³. As for the density of states at the Fermi level: 0.441 states/eV/atom. The uncorrected formation energy is -0.137 eV/atom.